[1]
# Nd3Sm2Cd2

A relaxed structure of Nd3Sm2Cd2 (PBE-GGA, Alexandria via LeMat-Bulk).

Cell: 5.545 5.546 8.765 Å, 108.41 90.00 119.99°
Positions (direct):
Nd 0.342 0.684 0.526
Nd 0.658 0.316 0.474
Nd 0.500 0.000 0.000
Cd 0.211 0.421 0.132
Cd 0.789 0.579 0.868
Sm 0.926 0.851 0.277
Sm 0.074 0.149 0.723

Uncorrected energy ... -3.81 eV per atom
Polymorph energy (0 for the lowest one) ... 0.0000 eV per atom
Energy of formation ... -0.15 eV/atom
Space-group type ... R-3m (166)

***

[2]
# Nd8Sm5Cd

A relaxed structure of Nd8Sm5Cd (PBE-GGA, Alexandria via LeMat-Bulk).

Cell: 8.727 8.726 8.727 Å, 104.49 121.97 102.73°
Positions (direct):
Nd 0.468 0.915 0.932
Nd 0.075 0.660 0.415
Nd 0.017 0.085 0.553
Nd 0.567 0.662 0.228
Nd 0.468 0.535 0.553
Nd 0.755 0.340 0.415
Nd 0.018 0.465 0.933
Nd 0.566 0.338 0.905
Sm 0.919 0.801 0.720
Sm 0.544 0.000 0.544
Sm 0.914 0.815 0.099
Sm 0.919 0.199 0.118
Sm 0.285 0.185 0.099
Cd 0.236 0.500 0.736

Uncorrected energy ... -4.34 eV per atom
Energy of formation ... 0.14 eV/atom
Space-group type ... Imm2 (44)

***

[3]
# Nd3Sm2Cd

A relaxed structure of Nd3Sm2Cd (PBE-GGA, Alexandria via LeMat-Bulk).

Cell: 6.225 6.241 11.778 Å, 84.87 79.68 60.09°
Positions (direct):
Nd 0.080 0.340 0.756
Nd 0.920 0.660 0.244
Nd 0.260 0.000 0.243
Nd 0.580 0.340 0.244
Nd 0.420 0.660 0.756
Nd 0.740 0.000 0.757
Sm 0.000 0.000 0.000
Sm 0.837 0.327 0.500
Sm 0.163 0.673 0.500
Sm 0.500 0.000 0.500
Cd 0.668 0.664 0.000
Cd 0.332 0.336 0.000

Uncorrected energy ... -4.13 eV per atom
Polymorph energy (0 for the lowest one) ... 0.0686 eV per atom
Energy of formation ... -0.03 eV/atom
Space-group type ... C2/m (12)